Material: MnTeO2F
Method: DFT, PBE+U
State: relaxed

Calculated values
E   -5.18 eV per atom

Geometry as CIF:
```
data_MnTeO2F
_chemical_formula_sum 'Mn1 Te1 O2 F1'
_cell_length_a 4.212
_cell_length_b 4.212
_cell_length_c 4.626
_cell_angle_alpha 90.00
_cell_angle_beta 90.00
_cell_angle_gamma 90.00
_space_group_name_H-M_alt 'P 4/m m m'
_space_group_IT_number 123
_space_group_name_Hall '-P 4 2'
loop_
_atom_site_label
_atom_site_type_symbol
_atom_site_fract_x
_atom_site_fract_y
_atom_site_fract_z
Mn1 Mn 0.000 0.000 0.000
Te1 Te 0.500 0.500 0.500
O1 O 0.000 0.500 0.500
F1 F 0.500 0.500 0.000
```